DFT (GGA-PBE) results for Er2CdTc after structural relaxation.

The structure belongs to space group R-3m (No. 166, hexagonal axes); the cell edges are 3.4072, 3.4072 and 31.2473 Å and the angles 90.00°, 90.00° and 120.00°. The distinct sites, in fractional coordinates, are Er at (0.0000, 0.0000, 0.1034), Cd at (0.0000, 0.0000, 0.0000) and Tc at (0.0000, 0.0000, 0.5000).

As for the electronic total energy: -19.6 eV per formula unit. The formation energy is 194 meV per atom. For the density of states at the Fermi level, the calculation gives 0.795 states/eV/atom. The volume is 104.7 Å³/f.u.

DFT (GGA-PBE) results for Tm5ZnRh2 after structural relaxation.

The structure belongs to space group I4/mcm (No. 140); the cell edges are 7.570, 7.570 and 13.121 Å and the angles 90.00°, 90.00° and 90.00°. The distinct sites, in fractional coordinates, are Tm at (0.000, 0.000, 0.000), Tm at (0.161, 0.339, 0.139), Zn at (0.000, 0.000, 0.250) and Rh at (0.139, 0.361, 0.500).

As for the electronic total energy: -43.3 eV per formula unit. The formation energy is -617 meV per atom. For the density of states at the Fermi level, the calculation gives 0.551 states/eV/atom. The volume is 188.0 Å³/f.u.

DFT (GGA-PBE) results for Ni2SbAs after structural relaxation.

The structure belongs to space group P2/m (No. 10); the cell edges are 4.021, 3.250 and 5.148 Å and the angles 90.00°, 107.85° and 90.00°. The distinct sites, in fractional coordinates, are Ni at (0.000, 0.000, 0.000), Ni at (0.500, 0.500, 0.500), Sb at (0.000, 0.000, 0.500) and As at (0.500, 0.500, 0.000).

As for the electronic total energy: -20.3 eV per formula unit. For the density of states at the Fermi level, the calculation gives 0.520 states/eV/atom. The volume is 64.0 Å³/f.u. The uncorrected formation energy comes out at 0.0193 eV/atom.

DFT (GGA-PBE) results for Ce4Nd11Dy9 after structural relaxation.

The structure belongs to space group Cmmm (No. 65); the cell edges are 17.046, 25.442 and 3.677 Å and the angles 90.00°, 90.00° and 90.00°. The distinct sites, in fractional coordinates, are Ce at (0.152, 0.100, 0.000), Nd at (0.000, 0.135, 0.500), Nd at (0.000, 0.343, 0.500), Nd at (0.000, 0.500, 0.500), Nd at (0.207, 0.000, 0.500), Nd at (0.230, 0.320, 0.500), Dy at (0.000, 0.000, 0.000), Dy at (0.102, 0.237, 0.000) and Dy at (0.141, 0.428, 0.000).

As for the electronic total energy: -115.3 eV per formula unit. The formation energy is 98 meV per atom. For the density of states at the Fermi level, the calculation gives 1.882 states/eV/atom. The volume is 797.4 Å³/f.u.

DFT (GGA-PBE) results for Nb4Ir3Pt after structural relaxation.

The structure belongs to space group P2/m (No. 10); the cell edges are 4.888, 2.860 and 9.459 Å and the angles 90.00°, 101.14° and 90.00°. The distinct sites, in fractional coordinates, are Nb at (0.000, 0.000, 0.000), Nb at (0.247, 0.000, 0.745), Nb at (0.500, 0.000, 0.500), Ir at (0.000, 0.500, 0.500), Ir at (0.250, 0.500, 0.249) and Pt at (0.500, 0.500, 0.000).

As for the electronic total energy: -77.4 eV per formula unit. The formation energy is -562 meV per atom. For the density of states at the Fermi level, the calculation gives 0.877 states/eV/atom. The volume is 129.7 Å³/f.u.

DFT (GGA-PBE) results for AlInBr2 after structural relaxation.

The structure belongs to space group I-4m2 (No. 119); the cell edges are 4.461, 4.461 and 12.465 Å and the angles 90.00°, 90.00° and 90.00°. The distinct sites, in fractional coordinates, are Al at (0.000, 0.000, 0.000), In at (0.000, 0.500, 0.250), Br at (0.000, 0.000, 0.500) and Br at (0.000, 0.500, 0.750).

Its energy above the most stable polymorph in this dataset is 0.77 eV/f.u. As for the electronic total energy: -11.0 eV per formula unit. The volume is 124.0 Å³/f.u. The uncorrected formation energy comes out at -0.2873 eV/atom.

DFT (GGA-PBE) results for Mg2ScOsI after structural relaxation.

The structure belongs to space group P4/mmm (No. 123); the cell edges are 5.730, 5.730 and 5.299 Å and the angles 90.00°, 90.00° and 90.00°. The distinct sites, in fractional coordinates, are Mg at (0.000, 0.500, 0.000), Sc at (0.000, 0.000, 0.000), Os at (0.500, 0.500, 0.500) and I at (0.000, 0.000, 0.500).

As for the electronic total energy: -14.3 eV per formula unit. For the density of states at the Fermi level, the calculation gives 1.147 states/eV/atom. The volume is 174.0 Å³/f.u. The uncorrected formation energy comes out at 1.5994 eV/atom.

DFT (GGA-PBE) results for DyYW4 after structural relaxation.

The structure belongs to space group F-43m (No. 216); the cell edges are 7.845, 7.845 and 7.845 Å and the angles 90.00°, 90.00° and 90.00°. The distinct sites, in fractional coordinates, are Dy at (0.000, 0.000, 0.000), Y at (0.250, 0.250, 0.250) and W at (0.125, 0.125, 0.625).

As for the electronic total energy: -62.0 eV per formula unit. The formation energy is 152 meV per atom. For the density of states at the Fermi level, the calculation gives 1.647 states/eV/atom. The volume is 120.7 Å³/f.u.